First-principles (PBE) data for a geometry-optimized SrCaO2 structure, as listed in Alexandria via LeMat-Bulk.

Cell lengths 5.462, 5.462, 6.621 Å; angles 65.64, 65.64, 90.00 degrees
Element x y z (fractional)
Sr1 0.000 0.000 0.000
Sr2 0.750 0.250 0.500
O1 0.602 0.125 0.250
O2 0.875 0.852 0.750
O3 0.375 0.398 0.750
Ca1 0.250 0.750 0.500
O4 0.148 0.625 0.250
Ca2 0.500 0.500 0.000

Output
calculated total energy = -48.62 eV/cell
space group = I-42d (122)
calculated volume = 20.05 A^3/atom
energy relative to the elements, uncorrected = -2.68 eV per atom